PmAg2Au2 after structural relaxation, computed with PBE.

## Properties
Energy of formation ... -239.3 meV/atom
Raw total energy ... -3.641 eV/atom
Symmetry ... Cmmm (65)

Cell: 4.5775 4.5775 5.6778 Å, 89.95 89.95 109.66°
Fractional coordinates of all 5 atoms:
Au 0.4996 0.4996 0.2482
Au 0.5004 0.5004 0.7518
Pm 0.0000 0.0000 0.0000
Ag 0.8203 0.1797 0.5000
Ag 0.1797 0.8203 0.5000